(1)
CeNd4As5 | PBE | relaxed

Lattice parameters (Å, degrees): 4.2645 6.0226 21.3107 90.00 90.00 90.00
Last column: nearest neighbours and their distance in Å.
Space group Immm (No. 71)
Symmetry-distinct sites (fractional):
Ce1 0.0000 0.0000 0.0000  6 As 2.98-3.01
Nd1 0.0000 0.0000 0.2005  6 As 3.00-3.06
Nd2 0.0000 0.0000 0.3993  6 As 3.01-3.03
As1 0.0000 0.5000 0.0000  2 Ce 3.01, 4 Nd 3.03
As2 0.0000 0.5000 0.2004  6 Nd 3.00-3.01
As3 0.0000 0.5000 0.4026  2 Ce 2.98, 4 Nd 3.01-3.06

Summary:
Final energy, eV for the cell shown: -126.6
Formation energy, eV per atom: -1.503

(2)
Cs4KNa | PBE | relaxed

Lattice parameters (Å, degrees): 13.2464 13.2464 13.2464 90.00 90.00 90.00
Last column: nearest neighbours and their distance in Å.
Space group F-43m (No. 216)
Symmetry-distinct sites (fractional):
Cs1 0.1245 0.1245 0.1245  6 Cs 4.66-4.70
K1 0.0000 0.0000 0.5000  12 Cs 5.49, 4 Na 5.74
Na1 0.2500 0.2500 0.7500  12 Cs 5.49, 4 K 5.74

Summary:
Final energy, eV for the cell shown: -20.4
Formation energy, eV per atom: 0.122

(3)
LaAl3ZnCu | PBE | relaxed

Lattice parameters (Å, degrees): 6.2060 12.7413 5.9472 90.00 90.00 90.00
Last column: nearest neighbours and their distance in Å.
Space group Cmcm (No. 63)
Symmetry-distinct sites (fractional):
La1 0.0000 0.2128 0.2500  1 Cu 2.79, 2 Zn 3.08
Al1 0.0000 0.3662 0.7500  1 Cu 2.58, 1 Zn 2.75
Al2 0.2110 0.0000 0.0000  2 Cu 2.49, 1 Al 2.62, 2 Zn 2.75
Zn1 0.0000 0.1502 0.7500  5 Al 2.75, 2 La 3.08
Cu1 0.0000 0.4316 0.2500  5 Al 2.49-2.58

Summary:
Final energy, eV for the cell shown: -90.0
Formation energy, eV per atom: -0.161

(4)
TlAg2IrCl8 | PBE | relaxed

Lattice parameters (Å, degrees): 6.4071 6.5289 7.7898 86.04 87.47 78.78
Last column: nearest neighbours and their distance in Å.
Space group P-1 (No. 2)
Symmetry-distinct sites (fractional):
Tl1 0.0000 0.0000 0.0000  6 Cl 2.61-2.78
Ag1 0.4782 0.4222 0.2618  5 Cl 2.59-2.87
Ir1 0.0000 0.0000 0.5000  6 Cl 2.34-2.39
Cl1 0.2061 0.1101 0.7038  1 Ir 2.34
Cl2 0.2087 0.1183 0.2721  1 Ir 2.35
Cl3 0.2339 0.6672 0.5077  1 Ir 2.39, 1 Ag 2.59
Cl4 0.2486 0.6314 0.0137  1 Tl 2.61, 2 Ag 2.62-2.71

Summary:
E_form (uncorrected), meV/atom: -529
Final energy, eV for the cell shown: -38.1

(5)
MoPt3W | PBE | relaxed

Lattice parameters (Å, degrees): 14.4919 3.9322 5.6216 90.00 102.99 90.00
Last column: nearest neighbours and their distance in Å.
Space group C2/m (No. 12)
Symmetry-distinct sites (fractional):
Mo1 0.1964 0.0000 0.3544  8 Pt 2.71-2.85, 2 W 2.77, 2 Mo 2.80
Pt1 0.0034 0.0000 0.2438  7 Pt 2.72-2.94, 1 Mo 2.73, 4 W 2.78-2.80
Pt2 0.1082 0.5000 0.5518  3 Mo 2.71-2.76, 6 Pt 2.75-2.94, 2 W 2.81-2.82
Pt3 0.2032 0.0000 0.8534  5 Pt 2.72-2.92, 3 W 2.76-2.82, 4 Mo 2.78-2.85
W1 0.1015 0.5000 0.0471  9 Pt 2.76-2.82, 2 Mo 2.77, 1 W 2.87

Summary:
Final energy, eV for the cell shown: -172.9
Formation energy, eV per atom: -0.265

(6)
CrPdN3 | PBE | relaxed

Lattice parameters (Å, degrees): 3.7088 3.7088 3.7088 90.00 90.00 90.00
Last column: nearest neighbours and their distance in Å.
Space group Pm-3m (No. 221)
Symmetry-distinct sites (fractional):
Cr1 0.0000 0.0000 0.0000  6 N 1.85
Pd1 0.5000 0.5000 0.5000  12 N 2.62
N1 0.0000 0.0000 0.5000  2 Cr 1.85

Summary:
E_form (uncorrected), meV/atom: 975
Final energy, eV for the cell shown: -34.9

(7)
Al3FeC | PBE | relaxed

Lattice parameters (Å, degrees): 3.9677 3.9677 3.9677 90.00 90.00 90.00
Last column: nearest neighbours and their distance in Å.
Space group Pm-3m (No. 221)
Symmetry-distinct sites (fractional):
Al1 0.0000 0.0000 0.5000  2 C 1.98
Fe1 0.5000 0.5000 0.5000  12 Al 2.81
C1 0.0000 0.0000 0.0000  6 Al 1.98

Summary:
Final energy, eV for the cell shown: -26.8
Formation energy, eV per atom: 0.418

(8)
La3Ga4Pt4 | PBE | relaxed

Lattice parameters (Å, degrees): 4.0927 4.3891 26.3937 90.00 90.00 90.00
Last column: nearest neighbours and their distance in Å.
Space group Immm (No. 71)
Symmetry-distinct sites (fractional):
La1 0.0000 0.0000 0.0000  8 Ga 3.26, 4 Pt 3.31
La2 0.0000 0.5000 0.1451  8 Pt 3.24-3.58, 6 Ga 3.27-3.28
Ga1 0.0000 0.0000 0.4514  2 Pt 2.56, 1 Ga 2.57
Ga2 0.0000 0.5000 0.3047  5 Pt 2.54-2.59
Pt1 0.0000 0.0000 0.2525  4 Ga 2.54-2.59
Pt2 0.0000 0.5000 0.4015  3 Ga 2.55-2.56

Summary:
Final energy, eV for the cell shown: -123.7
Formation energy, eV per atom: -0.982

(9)
Ca2Ge3PdAu4 | PBE | relaxed

Lattice parameters (Å, degrees): 4.3201 4.3201 11.2460 90.00 90.00 90.00
Last column: nearest neighbours and their distance in Å.
Space group P-4m2 (No. 115)
Symmetry-distinct sites (fractional):
Ca1 0.0000 0.5000 0.2474  8 Au 3.25-3.57, 6 Ge 3.34-3.52, 2 Pd 3.52
Ge1 0.0000 0.0000 0.0000  4 Au 2.73, 4 Pd 3.05
Ge2 0.0000 0.5000 0.6318  5 Au 2.47-2.62
Pd1 0.5000 0.5000 0.0000  4 Au 2.73, 4 Ge 3.05
Au1 0.0000 0.0000 0.5000  4 Ge 2.62
Au2 0.0000 0.5000 0.8517  3 Ge 2.47-2.73, 2 Pd 2.73
Au3 0.5000 0.5000 0.5000  4 Ge 2.62

Summary:
Final energy, eV for the cell shown: -40.7
Formation energy, eV per atom: -0.454

(10)
Pd5Pt4 | PBE | relaxed

Lattice parameters (Å, degrees): 10.0573 10.0573 2.7783 90.00 90.00 90.00
Last column: nearest neighbours and their distance in Å.
Space group I4/mmm (No. 139)
Symmetry-distinct sites (fractional):
Pd1 0.0000 0.0000 0.0000  10 Pd 2.74-2.78
Pd2 0.1660 0.1660 0.5000  4 Pt 2.74, 6 Pd 2.74-2.78
Pt1 0.0000 0.3319 0.0000  4 Pd 2.74, 6 Pt 2.76-2.78

Summary:
Final energy, eV for the cell shown: -100.2
Formation energy, eV per atom: 0.005

(11)
BaLiTmF6 | PBE | relaxed

Lattice parameters (Å, degrees): 6.9160 7.3595 10.1429 90.00 90.00 90.00
Last column: nearest neighbours and their distance in Å.
Space group Imma (No. 74)
Symmetry-distinct sites (fractional):
Ba1 0.0000 0.2500 0.0760  8 F 2.66-2.92
Li1 0.2500 0.2500 0.7500  6 F 2.06-2.11
Tm1 0.0000 0.0000 0.5000  8 F 2.24-2.29
F1 0.0000 0.2500 0.3734  2 Tm 2.24
F2 0.0000 0.2500 0.6306  2 Li 2.11, 2 Tm 2.27
F3 0.2196 0.0411 0.8830  1 Li 2.06, 1 Tm 2.29

Summary:
E_form (uncorrected), meV/atom: -3706
Final energy, eV for the cell shown: -211.5

(12)
LaBe2Os | PBE | relaxed

Lattice parameters (Å, degrees): 7.8077 3.4790 5.2418 90.00 107.09 90.00
Last column: nearest neighbours and their distance in Å.
Space group C2/m (No. 12)
Symmetry-distinct sites (fractional):
La1 0.0000 0.0000 0.0000  8 Be 3.00-3.17, 4 Os 3.15
Be1 0.2122 0.0000 0.5785  2 Be 2.08
Os1 0.0000 0.5000 0.5000  6 Be 2.35-2.40

Summary:
Final energy, eV for the cell shown: -48.3
Formation energy, eV per atom: -0.139

no.,M_tot (μB per atom)
1,0.057
2,0.000
3,0.000
4,0.000
5,0.000
6,0.000
7,0.000
8,0.000
9,0.000
10,0.000
11,0.000
12,0.000